Below is Mn2VPO7 at its PBEsol-relaxed geometry, with properties calculated at the SCAN level.

Unit cell a=6.353 b=8.517 c=4.820 alpha=90.00 beta=102.52 gamma=90.00
Space group Cm (No. 8)
Inequivalent atoms, fractional coordinates:
Mn 0.000 0.191 0.000 x4
V 0.252 0.000 0.595 x2
P 0.228 0.500 0.403 x2
O 0.029 0.500 0.535 x2
O 0.121 0.000 0.238 x2
O 0.232 0.351 0.222 x4
O 0.266 0.171 0.795 x4
O 0.423 0.500 0.666 x2

Summary:
For the total energy, the calculation gives -12.276 eV/atom. As for the uncorrected formation energy: -2457 meV/atom. For the calculated volume, the calculation gives 254.6 Å³ per cell.